1.
DFT (PBE) results for a geometry-optimized Pm2Er3ScTe6 structure.

Calculated values
Space group   No. 12
Size of the total moment   0.00 μB/f.u.
Mass density   7.63 g cm⁻³
E   -63.430 eV for the cell shown
Crystal system   monoclinic

abc: 4.317 8.737 9.740
angles: 102.88 102.80 90.00
Sites, in units of the cell vectors:
Te 0.662 0.590 0.323
Pm 0.170 0.335 0.341
Te 0.341 0.929 0.682
Er 0.176 0.838 0.352
Te 0.659 0.071 0.318
Te 0.005 0.759 0.010
Er 0.824 0.162 0.648
Er 0.500 0.500 0.000
Sc 0.500 0.000 0.000
Te 0.338 0.410 0.677
Te 0.995 0.241 0.990
Pm 0.830 0.665 0.659

---

2.
DFT (PBE) results for a geometry-optimized Pm3ErSc2Te6 structure.

Calculated values
Space group   No. 12
Size of the total moment   0.00 μB/f.u.
Mass density   6.96 g cm⁻³
E   -65.568 eV for the cell shown
Crystal system   monoclinic

abc: 4.302 8.779 9.756
angles: 104.26 102.74 90.00
Sites, in units of the cell vectors:
Te 0.666 0.097 0.331
Te 0.334 0.903 0.669
Pm 0.837 0.171 0.673
Te 0.993 0.755 0.985
Sc 0.833 0.666 0.666
Pm 0.163 0.829 0.327
Te 0.007 0.245 0.015
Pm 0.500 0.500 0.000
Te 0.672 0.569 0.344
Te 0.328 0.431 0.656
Er 0.500 0.000 0.000
Sc 0.167 0.334 0.334

---

3.
DFT (PBE) results for a geometry-optimized Pm2ErScTe4 structure.

Calculated values
Space group   No. 10
Size of the total moment   0.00 μB/f.u.
Mass density   7.18 g cm⁻³
E   -43.196 eV for the cell shown
Crystal system   monoclinic

abc: 4.297 7.482 7.691
angles: 108.74 90.00 90.00
Sites, in units of the cell vectors:
Pm 0.000 0.500 0.500
Sc 0.000 0.000 0.000
Pm 0.500 0.000 0.500
Te 0.000 0.750 0.234
Te 0.500 0.762 0.770
Er 0.500 0.500 0.000
Te 0.500 0.238 0.230
Te 0.000 0.250 0.766

---

4.
DFT (PBE) results for a geometry-optimized PmEr2ScTe6 structure.

Calculated values
Space group   No. 146
Size of the total moment   0.00 μB/f.u.
Mass density   6.13 g cm⁻³
E   -52.104 eV for the cell shown
Crystal system   trigonal

abc: 7.615 7.615 8.231
angles: 62.45 62.45 60.01
Sites, in units of the cell vectors:
Te 0.723 0.112 0.759
Er 0.510 0.510 0.469
Te 0.112 0.406 0.759
Er 0.007 0.007 0.978
Te 0.237 0.929 0.245
Sc 0.326 0.326 0.023
Te 0.406 0.723 0.759
Pm 0.822 0.822 0.533
Te 0.929 0.589 0.245
Te 0.589 0.237 0.245

---

5.
DFT (PBE) results for a geometry-optimized PmEr3Sc2Te6 structure.

Calculated values
Space group   No. 12
Size of the total moment   0.00 μB/f.u.
Mass density   7.40 g cm⁻³
E   -64.367 eV for the cell shown
Crystal system   monoclinic

abc: 4.281 8.628 9.598
angles: 102.44 102.89 90.00
Sites, in units of the cell vectors:
Te 0.995 0.739 0.989
Sc 0.163 0.329 0.326
Te 0.329 0.421 0.658
Te 0.671 0.579 0.342
Te 0.005 0.261 0.011
Er 0.500 0.500 0.000
Sc 0.837 0.671 0.674
Er 0.842 0.168 0.684
Pm 0.500 0.000 0.000
Te 0.326 0.906 0.653
Te 0.674 0.094 0.347
Er 0.158 0.832 0.316

---

6.
DFT (PBE) results for a geometry-optimized PmEr2ScTe4 structure.

Calculated values
Space group   No. 10
Size of the total moment   0.00 μB/f.u.
Mass density   7.50 g cm⁻³
E   -42.523 eV for the cell shown
Crystal system   monoclinic

abc: 4.275 7.561 7.491
angles: 108.84 90.00 90.00
Sites, in units of the cell vectors:
Sc 0.000 0.000 0.000
Er 0.500 0.000 0.500
Te 0.500 0.761 0.753
Er 0.000 0.500 0.500
Pm 0.500 0.500 0.000
Te 0.000 0.762 0.255
Te 0.500 0.239 0.247
Te 0.000 0.238 0.745

---

7.
DFT (PBE) results for a geometry-optimized Pm2Er4ThSc structure.

Calculated values
Space group   No. 47
Size of the total moment   0.00 μB/f.u.
Mass density   8.25 g cm⁻³
Crystal system   orthorhombic
ΔE_f   135 meV per atom

abc: 5.780 5.791 9.424
angles: 52.07 90.00 90.00
Sites, in units of the cell vectors:
Er 0.000 0.744 0.756
Er 0.000 0.256 0.244
Sc 0.500 0.500 0.000
Er 0.500 0.243 0.757
Th 0.000 0.500 0.500
Er 0.500 0.757 0.243
Pm 0.500 0.000 0.500
Pm 0.000 0.000 0.000

---

8.
DFT (PBE) results for a geometry-optimized PmErThSc structure.

Calculated values
Space group   No. 160
Excess energy over the best structure of this formula in the dataset   0.000 eV/f.u.
Size of the total moment   0.00 μB/f.u.
Mass density   8.07 g cm⁻³
Crystal system   trigonal
ΔE_f   37 meV per atom

abc: 3.536 3.537 11.382
angles: 90.00 98.94 119.99
Sites, in units of the cell vectors:
Pm 0.965 0.381 0.360
Sc 0.131 0.964 0.111
Th 0.307 0.551 0.874
Er 0.475 0.135 0.625

---

9.
DFT (PBE) results for a geometry-optimized PmEr2ThSc4 structure.

Calculated values
Space group   No. 123
Size of the total moment   0.00 μB/f.u.
Mass density   6.60 g cm⁻³
Crystal system   tetragonal
ΔE_f   41 meV per atom

abc: 4.965 4.973 10.352
angles: 61.32 90.00 90.00
Sites, in units of the cell vectors:
Er 0.500 0.000 0.500
Pm 0.500 0.500 0.000
Sc 0.500 0.746 0.253
Er 0.000 0.000 0.000
Th 0.000 0.500 0.500
Sc 0.500 0.254 0.747
Sc 0.000 0.246 0.254
Sc 0.000 0.754 0.746

---

10.
DFT (PBE) results for a geometry-optimized Pm2ErThSc4 structure.

Calculated values
Space group   No. 123
Size of the total moment   0.00 μB/f.u.
Mass density   6.35 g cm⁻³
Crystal system   tetragonal
ΔE_f   49 meV per atom

abc: 4.997 5.005 10.378
angles: 61.17 90.00 90.00
Sites, in units of the cell vectors:
Pm 0.500 0.000 0.500
Th 0.000 0.500 0.500
Pm 0.000 0.000 0.000
Sc 0.000 0.248 0.252
Sc 0.000 0.752 0.748
Sc 0.500 0.252 0.748
Sc 0.500 0.748 0.252
Er 0.500 0.500 0.000

---

11.
DFT (PBE) results for a geometry-optimized PmEr2ThSc structure.

Calculated values
Space group   No. 11
Size of the total moment   0.00 μB/f.u.
Mass density   8.17 g cm⁻³
Crystal system   monoclinic
ΔE_f   47 meV per atom

abc: 5.653 9.349 6.160
angles: 109.09 90.00 90.00
Sites, in units of the cell vectors:
Sc 0.750 0.492 0.338
Sc 0.250 0.508 0.662
Er 0.750 0.697 0.923
Er 0.250 0.103 0.461
Th 0.750 0.098 0.126
Er 0.750 0.897 0.539
Pm 0.250 0.692 0.264
Th 0.250 0.902 0.874
Er 0.250 0.303 0.077
Pm 0.750 0.308 0.736

---

12.
DFT (PBE) results for a geometry-optimized PmErThSc structure.

Calculated values
Space group   No. 216
Excess energy over the best structure of this formula in the dataset   0.490 eV/f.u.
Size of the total moment   0.00 μB/f.u.
Mass density   8.01 g cm⁻³
Crystal system   cubic
ΔE_f   159 meV per atom

abc: 5.569 5.569 5.569
angles: 60.00 60.00 60.00
Sites, in units of the cell vectors:
Er 0.750 0.750 0.750
Th 0.250 0.250 0.250
Pm 0.500 0.500 0.500
Sc 0.000 0.000 0.000